[1]
! YTlTeI2, PBEsol geometry, DFT meta-GGA SCAN; values from VASP
&SYSTEM
  ibrav = 0, nat = 5, ntyp = 4
/
ATOMIC_SPECIES
I 126.90 I.upf
Y 88.91 Y.upf
Tl 204.38 Tl.upf
Te 127.60 Te.upf
ATOMIC_POSITIONS angstrom
I -0.138 -0.929 2.751
I 2.569 -1.322 -0.317
Y 1.108 -4.616 1.569
Tl 0.000 0.000 0.000
Te -1.324 -2.365 -0.865
CELL_PARAMETERS angstrom
-2.647 -4.730 -1.730
5.138 -2.644 -0.635
-0.276 -1.857 5.502
! uncorrected formation energy = -0.01 eV/atom
! E above lowest polymorph = 995 meV/atom
! size of the total moment = 0.8 Bohr magnetons per cell
! ρ = 5.83 g/cm3

[2]
! TlZnTeI2, PBEsol geometry, DFT meta-GGA SCAN; values from VASP
&SYSTEM
  ibrav = 0, nat = 5, ntyp = 4
/
ATOMIC_SPECIES
I 126.90 I.upf
Tl 204.38 Tl.upf
Te 127.60 Te.upf
Zn 65.41 Zn.upf
ATOMIC_POSITIONS angstrom
I 0.000 0.000 2.942
I 0.000 2.942 0.000
Tl 0.000 0.000 0.000
Te 2.884 0.000 0.000
Zn 2.884 2.942 2.942
CELL_PARAMETERS angstrom
5.769 0.000 0.000
0.000 5.883 0.000
0.000 0.000 5.883
! uncorrected formation energy = 0.40 eV/atom
! size of the total moment = 0.0 Bohr magnetons per cell
! ρ = 5.42 g/cm3

[3]
! ZrTlTeI2, PBEsol geometry, DFT meta-GGA SCAN; values from VASP
&SYSTEM
  ibrav = 0, nat = 5, ntyp = 4
/
ATOMIC_SPECIES
I 126.90 I.upf
Tl 204.38 Tl.upf
Te 127.60 Te.upf
Zr 91.22 Zr.upf
ATOMIC_POSITIONS angstrom
I 0.000 0.000 2.837
I 0.000 2.837 0.000
Tl 2.798 2.837 2.837
Te 2.798 0.000 0.000
Zr 0.000 0.000 0.000
CELL_PARAMETERS angstrom
5.596 0.000 0.000
0.000 5.673 0.000
0.000 0.000 5.673
! uncorrected formation energy = -0.56 eV/atom
! size of the total moment = 0.0 Bohr magnetons per cell
! ρ = 6.24 g/cm3

[4]
! TeW3I, PBEsol geometry, DFT meta-GGA SCAN; values from VASP
&SYSTEM
  ibrav = 0, nat = 5, ntyp = 3
/
ATOMIC_SPECIES
I 126.90 I.upf
Te 127.60 Te.upf
W 183.84 W.upf
ATOMIC_POSITIONS angstrom
I 0.000 0.000 0.000
Te -4.045 -0.251 -1.159
W -1.074 -1.974 -0.934
W -1.907 0.341 1.472
W -1.063 1.382 -1.698
CELL_PARAMETERS angstrom
-2.126 2.764 -3.395
-2.148 -3.948 -1.868
-3.815 0.682 2.945
! uncorrected formation energy = 3.01 eV/atom
! size of the total moment = 0.0 Bohr magnetons per cell
! ρ = 11.61 g/cm3

DOS(E_F), respectively: 3.2, 4.9, 2.1, 4.5 states/eV per cell.